PBE with a Hubbard U WBr2F, optimized geometry; calculated volume = 73 Å³/f.u.; symmetry = Fm-3m (225); crystal system = cubic; energy above the most stable polymorph in this dataset = 912.2 meV/atom; D(E_F) = 1.3 states/eV per cell; total energy = -13.35 eV/cell; magnetization = 0.750 μB per atom
1.0
1.5084 1.4492 4.2076
-2.0768 3.6478 2.1119
-2.6550 -0.6935 3.8144
Br F W
2 1 1
Cartesian
-0.8058 1.1009 2.5335
-2.4175 3.3027 7.6004
0.0000 0.0000 0.0000
-1.6117 2.2018 5.0670